Entry from Alexandria via LeMat-Bulk: a relaxed structure of TaCdInH (PBE).

Computed properties:
- SG: Imm2
- M_tot: 0.00 μB/cell
- Raw total energy: -4.434 eV per atom

abc: 5.6206 5.6206 5.6206
angles: 147.53 135.91 55.81
Last column: nearest neighbours and their distance in Å.
Sites, in units of the cell vectors:
1 Ta 0.0000 0.0000 0.0000  2 H 1.87
2 Cd 0.3197 0.3197 0.0000  2 H 2.25
3 In 0.6448 0.6448 0.0000  4 H 2.96-3.24, 4 Ta 3.00, 2 In 3.14, 5 Cd 3.15-3.23
4 H 0.8978 0.3978 0.5000  2 Ta 1.87